Record 1
DFT (PBE) results for an optimized crystal structure of In6Te8Br.

**Formation energy (no corrections)**: -262 meV per atom

Cell: 11.9405 11.9405 12.7545 Å, 90.00 90.00 120.00°
With the nearest neighbours (Å) after each atom.
Space group R-3 (No. 148, hexagonal axes)
Inequivalent atoms, fractional coordinates:
In: 0.0608 0.7990 0.1165 (multiplicity 18)  4 Te 2.87-2.95
Te: 0.0000 0.0000 0.1767 (multiplicity 6)  3 In 2.94
Te: 0.0146 0.7508 0.6325 (multiplicity 18)  3 In 2.87-2.95
Br: 0.0000 0.0000 0.5000 (multiplicity 3)  6 Te 3.50

=====

Record 2
DFT (PBE) results for an optimized crystal structure of BaMn2Tc.

**E_form**: 1082 meV/atom
**Polymorph energy (0 for the lowest one)**: 0.6015 eV/atom

Cell: 5.9700 8.1936 3.2132 Å, 90.00 90.13 90.00°
With the nearest neighbours (Å) after each atom.
Space group C2/m (No. 12)
Inequivalent atoms, fractional coordinates:
Ba: 0.0000 0.0000 0.0000 (multiplicity 2)  2 Tc 2.99, 8 Mn 3.00, 2 Ba 3.21
Mn: 0.2500 0.2500 0.5000 (multiplicity 4)  4 Mn 2.99-3.21, 4 Ba 3.00, 4 Tc 3.00
Tc: 0.0000 0.5000 0.0000 (multiplicity 2)  2 Ba 2.99, 8 Mn 3.00, 2 Tc 3.21

=====

Record 3
DFT (PBE) results for an optimized crystal structure of Ho2Be2ZnRh5.

**E_form**: -748 meV/atom

Cell: 9.5896 9.5896 3.2310 Å, 90.00 90.00 90.00°
With the nearest neighbours (Å) after each atom.
Space group P4/mbm (No. 127)
Inequivalent atoms, fractional coordinates:
Ho: 0.1765 0.3235 0.0000 (multiplicity 4)  3 Be 2.73-2.91, 10 Rh 2.89-3.04
Be: 0.1222 0.6222 0.0000 (multiplicity 4)  6 Rh 2.31-2.33
Zn: 0.0000 0.0000 0.0000 (multiplicity 2)  8 Rh 2.68
Rh: 0.0000 0.5000 0.5000 (multiplicity 2)  4 Be 2.31
Rh: 0.0683 0.7882 0.5000 (multiplicity 8)  2 Be 2.33

=====

Record 4
DFT (PBE) results for an optimized crystal structure of Mn2BeCl2.

**Formation energy (no corrections)**: 366 meV per atom
**Polymorph energy (0 for the lowest one)**: 0.0000 eV/atom

Cell: 6.0378 6.0378 4.2587 Å, 90.00 90.00 90.00°
With the nearest neighbours (Å) after each atom.
Space group P4/mbm (No. 127)
Inequivalent atoms, fractional coordinates:
Mn: 0.1178 0.3822 0.0000 (multiplicity 4)  1 Mn 2.01, 2 Cl 2.20
Be: 0.0000 0.0000 0.0000 (multiplicity 2)  4 Mn 2.41
Cl: 0.1846 0.3154 0.5000 (multiplicity 4)  2 Mn 2.20

=====

Record 5
DFT (PBE) results for an optimized crystal structure of TlBr2.

**Formation energy (no corrections)**: -479 meV per atom

Cell: 4.3956 4.3956 6.4028 Å, 90.00 90.00 120.00°
With the nearest neighbours (Å) after each atom.
Space group P-3m1 (No. 164)
Inequivalent atoms, fractional coordinates:
Tl: 0.0000 0.0000 0.0000 (multiplicity 1)  6 Br 3.05
Br: 0.3333 0.6667 0.7349 (multiplicity 2)  3 Tl 3.05

=====

Record 6
DFT (PBE) results for an optimized crystal structure of NbIr3Ru.

**E_form**: 1898 meV/atom
**Polymorph energy (0 for the lowest one)**: 1.4085 eV/atom

Cell: 4.7227 4.7227 4.7227 Å, 90.00 90.00 90.00°
With the nearest neighbours (Å) after each atom.
Space group Pm-3m (No. 221)
Inequivalent atoms, fractional coordinates:
Nb: 0.0000 0.0000 0.0000 (multiplicity 1)  6 Ir 2.36
Ir: 0.0000 0.0000 0.5000 (multiplicity 3)  2 Nb 2.36
Ru: 0.5000 0.5000 0.5000 (multiplicity 1)  12 Ir 3.34

=====

Record 7
DFT (PBE) results for an optimized crystal structure of PrNdCdCu.

**E_form**: -177 meV/atom

Cell: 7.5119 7.5119 7.5119 Å, 90.00 90.00 90.00°
With the nearest neighbours (Å) after each atom.
Space group F-43m (No. 216)
Inequivalent atoms, fractional coordinates:
Pr: 0.0000 0.0000 0.0000 (multiplicity 4)  4 Cu 3.25, 4 Cd 3.25
Nd: 0.0000 0.0000 0.5000 (multiplicity 4)  4 Cd 3.25, 4 Cu 3.25
Cd: 0.2500 0.2500 0.7500 (multiplicity 4)  4 Pr 3.25, 4 Nd 3.25
Cu: 0.2500 0.2500 0.2500 (multiplicity 4)  4 Nd 3.25, 4 Pr 3.25

=====

Record 8
DFT (PBE) results for an optimized crystal structure of BeFeNi2H.

**Polymorph energy (0 for the lowest one)**: 0.0666 eV/atom

Cell: 3.4893 3.4893 3.6177 Å, 90.00 90.00 90.00°
With the nearest neighbours (Å) after each atom.
Space group P4/mmm (No. 123)
Inequivalent atoms, fractional coordinates:
Be: 0.0000 0.0000 0.0000 (multiplicity 1)  2 H 1.81
Fe: 0.5000 0.5000 0.0000 (multiplicity 1)  4 Be 2.47, 8 Ni 2.51
Ni: 0.0000 0.5000 0.5000 (multiplicity 2)  2 H 1.74
H: 0.0000 0.0000 0.5000 (multiplicity 1)  4 Ni 1.74, 2 Be 1.81

=====

Record 9
DFT (PBE) results for an optimized crystal structure of CuSi2Pt.

**Formation energy (no corrections)**: -141 meV per atom
**Polymorph energy (0 for the lowest one)**: 0.0871 eV/atom

Cell: 8.2876 3.2561 4.2707 Å, 90.00 98.70 90.00°
With the nearest neighbours (Å) after each atom.
Space group Cm (No. 8)
Inequivalent atoms, fractional coordinates:
Cu: 0.0000 0.0000 0.0000 (multiplicity 2)  5 Si 2.33-2.56, 1 Pt 2.60
Si: 0.0011 0.5000 0.4630 (multiplicity 2)  3 Pt 2.49-2.54, 2 Cu 2.56, 1 Si 2.58
Si: 0.2380 0.5000 0.1327 (multiplicity 2)  3 Cu 2.33-2.55, 1 Si 2.58
Pt: 0.2303 0.0000 0.6485 (multiplicity 2)  7 Si 2.49-2.75, 1 Cu 2.60

=====

Record 10
DFT (PBE) results for an optimized crystal structure of PmSmY.

**E_form**: 441 meV/atom
**Polymorph energy (0 for the lowest one)**: 0.4245 eV/atom

Cell: 3.3570 3.3570 18.7820 Å, 90.00 90.00 90.00°
With the nearest neighbours (Å) after each atom.
Space group I4mm (No. 107)
Inequivalent atoms, fractional coordinates:
Pm: 0.0000 0.0000 0.0000 (multiplicity 2)  4 Pm 3.36, 1 Y 3.37, 4 Sm 3.56
Sm: 0.0000 0.0000 0.3588 (multiplicity 2)  4 Sm 3.36, 1 Y 3.37, 4 Pm 3.56
Y: 0.0000 0.0000 0.1793 (multiplicity 2)  4 Y 3.36, 1 Pm 3.37, 1 Sm 3.37

=====

Record 11
DFT (PBE) results for an optimized crystal structure of Cu2AsIr.

**E_form**: 111 meV/atom

Cell: 3.6287 3.6287 8.3683 Å, 90.00 90.00 90.00°
With the nearest neighbours (Å) after each atom.
Space group I4/mmm (No. 139)
Inequivalent atoms, fractional coordinates:
Cu: 0.0000 0.5000 0.2500 (multiplicity 4)  4 Cu 2.57, 4 As 2.77, 4 Ir 2.77
As: 0.0000 0.0000 0.0000 (multiplicity 2)  4 Ir 2.57, 8 Cu 2.77
Ir: 0.0000 0.0000 0.5000 (multiplicity 2)  4 As 2.57, 8 Cu 2.77

=====

Record 12
DFT (PBE) results for an optimized crystal structure of SmPa2S4.

**Formation energy (no corrections)**: -1666 meV per atom

Cell: 3.7863 12.8565 13.3502 Å, 90.00 90.00 90.00°
With the nearest neighbours (Å) after each atom.
Space group Cmcm (No. 63)
Inequivalent atoms, fractional coordinates:
Sm: 0.0000 0.1166 0.2500 (multiplicity 4)  6 S 2.83
Pa: 0.0000 0.3601 0.0632 (multiplicity 8)  6 S 2.74-2.77
S: 0.0000 0.0000 0.0000 (multiplicity 4)  4 Pa 2.74
S: 0.0000 0.2791 0.6291 (multiplicity 8)  3 Pa 2.75-2.77, 2 Sm 2.83
S: 0.0000 0.4527 0.2500 (multiplicity 4)  2 Pa 2.76, 2 Sm 2.83

=====

Going through the records in order, we get E_tot values of -3.14 -6.58 -6.21 -4.79 -2.38 -7.29 -3.82 -5.42 -5.39 -4.87 -5.31 -7.41 eV per atom.